DFT (PBE) results for a relaxed structure of Li2FePd4.

Unit cell a=5.897 b=5.897 c=5.931 alpha=90.00 beta=90.00 gamma=90.00
Space group I4/mmm (No. 139)
Unique sites:
Li  0.000  0.500  0.000 (multiplicity 4)
Fe  0.000  0.000  0.000 (multiplicity 2)
Pd  0.250  0.250  0.250 (multiplicity 8)

Output
- Energy relative to the elements: -0.137 eV per atom
- Offset from the most stable computed form: 0 meV per atom